Material: YErMg2
Method: DFT, PBE
State: relaxed

- Relative energy among the computed polymorphs: 0.001 eV/atom
- Energy relative to the elements: -0.090 eV/atom

Cell: 5.375 5.375 3.750 Å, 90.00 90.00 90.00°
Sites, in units of the cell vectors:
1 Y 0.000 0.000 0.000
2 Er 0.500 0.500 0.000
3 Mg 0.000 0.500 0.500
4 Mg 0.500 0.000 0.500